1.
Density functional theory data (PBE) for an optimized crystal structure of BS3Cl.

## Properties
* raw formation energy: 0.972 eV/atom
* total magnetization: 0.00 μB/f.u.
* E_tot: -16.049 eV/cell
* calculated volume: 15.34 Å³/atom
* E above lowest polymorph: 1248.1 meV per atom

```
5
Lattice="4.249 0.000 0.000 0.000 4.249 0.000 0.000 0.000 4.249" Properties=species:S:1:pos:R:3 pbc="T T T"
S 0.000 2.125 0.000
S 0.000 0.000 2.125
S 2.125 0.000 0.000
B 0.000 0.000 0.000
Cl 2.125 2.125 2.125
```



2.
Density functional theory data (PBE) for an optimized crystal structure of BS2Cl.

## Properties
* raw formation energy: 0.358 eV/atom
* total magnetization: 0.80 μB/f.u.
* E_tot: -15.346 eV/cell
* calculated volume: 23.75 Å³/atom
* E above lowest polymorph: 0.0 meV per atom

```
4
Lattice="1.925 0.000 9.864 -0.963 1.667 9.864 -0.963 -1.667 9.864" Properties=species:S:1:pos:R:3 pbc="T T T"
S 0.000 0.000 27.925
S 0.000 0.000 1.667
B 0.000 0.000 0.000
Cl 0.000 0.000 14.796
```



3.
Density functional theory data (PBE) for an optimized crystal structure of B2S2Cl7.

## Properties
* raw formation energy: -0.562 eV/atom
* total magnetization: 1.01 μB/f.u.
* E_tot: -40.723 eV/cell
* calculated volume: 40.95 Å³/atom

```
11
Lattice="1.518 -14.868 3.254 3.243 2.391 -2.931 4.312 -11.549 9.053" Properties=species:S:1:pos:R:3 pbc="T T T"
B 5.000 -16.433 6.994
B 4.074 -7.593 2.382
S 1.893 -14.423 4.032
S 3.938 -11.994 8.276
Cl 3.864 -6.616 3.811
Cl 6.375 -16.026 7.985
Cl 5.210 -17.410 5.566
Cl 2.698 -8.001 1.392
Cl 1.621 1.196 -1.465
Cl 2.421 -10.558 4.875
Cl 6.652 -13.468 4.501
```



4.
Density functional theory data (PBE) for an optimized crystal structure of BS3Cl.

## Properties
* raw formation energy: -0.277 eV/atom
* total magnetization: 0.00 μB/f.u.
* E_tot: -44.578 eV/cell
* calculated volume: 32.63 Å³/atom
* E above lowest polymorph: 0.0 meV per atom

```
10
Lattice="-6.827 -6.023 -1.527 6.187 -3.269 -0.846 -4.895 1.246 5.803" Properties=species:S:1:pos:R:3 pbc="T T T"
B -3.436 -7.662 -1.673
B -4.196 -3.398 2.414
S -5.378 -3.256 3.790
S -4.378 -2.869 0.701
S -7.481 -5.533 1.254
S -0.675 -1.045 4.177
S -3.288 -8.250 0.028
S 0.657 -4.390 -0.275
Cl -2.686 -4.302 2.535
Cl -9.596 -5.191 4.069
```



5.
Density functional theory data (PBE) for an optimized crystal structure of BS3Cl.

## Properties
* raw formation energy: 1.938 eV/atom
* total magnetization: 0.00 μB/f.u.
* E_tot: -11.217 eV/cell
* calculated volume: 20.71 Å³/atom
* E above lowest polymorph: 2214.5 meV per atom

```
5
Lattice="4.696 0.000 0.000 0.000 4.696 0.000 0.000 0.000 4.696" Properties=species:S:1:pos:R:3 pbc="T T T"
S 0.000 2.348 0.000
S 0.000 0.000 2.348
S 2.348 0.000 0.000
B 2.348 2.348 2.348
Cl 0.000 0.000 0.000
```



6.
Density functional theory data (PBE) for an optimized crystal structure of BS5Cl.

## Properties
* raw formation energy: -0.163 eV/atom
* total magnetization: 0.00 μB/f.u.
* E_tot: -30.300 eV/cell
* calculated volume: 31.94 Å³/atom

```
7
Lattice="-3.513 -5.127 -1.089 3.503 1.796 -2.007 4.958 -4.835 9.469" Properties=species:S:1:pos:R:3 pbc="T T T"
B 0.888 -7.036 4.799
S -2.615 -4.990 -0.376
S 2.953 -0.087 0.891
S 0.149 -1.777 0.953
S 5.147 -3.560 5.786
S 2.113 -6.378 5.969
Cl 3.005 -4.531 2.040
```